1.
This record from Alexandria describes crystalline Rb2PaI7 at its relaxed geometry. The functional is GGA-PBE.

Cell: 9.695 11.183 11.544 Å, 74.34 65.17 64.31°
Fractional coordinates of all 20 atoms:
Rb: 0.641 0.908 0.714
Rb: 0.737 0.408 0.214
Rb: 0.263 0.592 0.786
Rb: 0.359 0.092 0.286
Pa: 0.896 0.250 0.750
Pa: 0.104 0.750 0.250
I: 0.668 0.537 0.795
I: 0.000 0.037 0.295
I: 0.247 0.853 0.975
I: 0.274 0.159 0.608
I: 0.575 0.250 0.750
I: 0.925 0.353 0.475
I: 0.042 0.341 0.892
I: 0.958 0.659 0.108
I: 0.075 0.647 0.525
I: 0.425 0.750 0.250
I: 0.726 0.841 0.392
I: 0.753 0.147 0.025
I: 0.000 0.963 0.705
I: 0.332 0.463 0.205

## Properties
* formation energy without anion corrections: -1.106 eV per atom
* space-group type: C2/c, No. 15
* M_tot: 0.00 μB/cell
* total energy: -3.33 eV per atom

---

2.
This record from Alexandria describes crystalline Ti4AgHg at its relaxed geometry. The functional is GGA-PBE.

Cell: 2.928 2.928 12.496 Å, 90.00 90.00 90.00°
Fractional coordinates of all 6 atoms:
Ti: 0.500 0.500 0.182
Ti: 0.000 0.000 0.666
Ti: 0.000 0.000 0.334
Ti: 0.500 0.500 0.818
Ag: 0.500 0.500 0.500
Hg: 0.000 0.000 0.000

## Properties
* E_form: -34 kJ/mol of formula units
* space-group type: P4/mmm, No. 123
* M_tot: 0.00 μB/cell
* total energy: -5.85 eV per atom

---

3.
This record from Alexandria describes crystalline AlCu2I6 at its relaxed geometry. The functional is GGA-PBE.

Cell: 7.290 10.823 10.823 Å, 87.33 70.41 70.41°
Fractional coordinates of all 18 atoms:
Al: 0.250 0.245 0.755
Al: 0.750 0.755 0.245
Cu: 0.073 0.673 0.817
Cu: 0.427 0.183 0.327
Cu: 0.927 0.327 0.183
Cu: 0.573 0.817 0.673
I: 0.230 0.824 0.658
I: 0.270 0.342 0.176
I: 0.770 0.176 0.342
I: 0.730 0.658 0.824
I: 0.878 0.758 0.439
I: 0.622 0.561 0.242
I: 0.122 0.242 0.561
I: 0.378 0.439 0.758
I: 0.072 0.752 0.049
I: 0.428 0.951 0.248
I: 0.928 0.248 0.951
I: 0.572 0.049 0.752

## Properties
* formation energy without anion corrections: -0.349 eV per atom
* space-group type: C2/c, No. 15
* M_tot: 0.00 μB/cell
* total energy: -2.71 eV per atom